Record 1
First-principles (GGA-PBE) data for an optimized crystal structure of CdAg4Pt, as listed in Alexandria.

a b c (Å): 5.4120 5.4120 5.4120
angles (deg): 60.00 60.00 60.00
Closest atoms and distances in Å follow each position.
Sites, in units of the cell vectors:
Cd1 0.7500 0.7500 0.7500  12 Ag 3.17, 4 Pt 3.31
Ag1 0.8756 0.3748 0.3748  6 Ag 2.70-2.71
Ag2 0.3748 0.3748 0.8756  6 Ag 2.70-2.71
Ag3 0.3748 0.8756 0.3748  6 Ag 2.70-2.71
Ag4 0.3748 0.3748 0.3748  6 Ag 2.70-2.71
Pt1 0.0000 0.0000 0.0000  12 Ag 3.17, 4 Cd 3.31

## Properties
SG: F-43m
Energy of formation from the pure elements, eV per atom: 0.170
Total moment, μB/atom: 0.000
Energy above the most stable polymorph in this dataset, meV/atom: 158



Record 2
First-principles (GGA-PBE) data for an optimized crystal structure of Cd3Ag3Pt, as listed in Alexandria.

a b c (Å): 8.2289 8.2289 8.2289
angles (deg): 90.00 90.00 90.00
Closest atoms and distances in Å follow each position.
Sites, in units of the cell vectors:
Cd1 0.8125 0.6375 0.9696  2 Pt 2.75-2.77, 6 Ag 2.88-3.01
Cd2 0.8625 0.0304 0.3125  2 Pt 2.75-2.77, 6 Ag 2.88-3.01
Cd3 0.9696 0.8125 0.6375  2 Pt 2.75-2.77, 6 Ag 2.88-3.01
Cd4 0.1375 0.5304 0.1875  2 Pt 2.75-2.77, 6 Ag 2.88-3.01
Cd5 0.1875 0.1375 0.5304  2 Pt 2.75-2.77, 6 Ag 2.88-3.01
Cd6 0.3125 0.8625 0.0304  2 Pt 2.75-2.77, 6 Ag 2.88-3.01
Cd7 0.0304 0.3125 0.8625  2 Pt 2.75-2.77, 6 Ag 2.88-3.01
Cd8 0.3625 0.4696 0.6875  2 Pt 2.75-2.77, 6 Ag 2.88-3.01
Cd9 0.5304 0.1875 0.1375  2 Pt 2.75-2.77, 6 Ag 2.88-3.01
Cd10 0.6375 0.9696 0.8125  2 Pt 2.75-2.77, 6 Ag 2.88-3.01
Cd11 0.6875 0.3625 0.4696  2 Pt 2.75-2.77, 6 Ag 2.88-3.01
Cd12 0.4696 0.6875 0.3625  2 Pt 2.75-2.77, 6 Ag 2.88-3.01
Ag1 0.8434 0.3434 0.1566  6 Cd 2.88, 3 Ag 3.04
Ag2 0.9686 0.9686 0.9686  1 Ag 2.84, 6 Cd 3.00-3.01
Ag3 0.8320 0.6680 0.3320  1 Pt 2.84, 4 Ag 2.84-3.04, 6 Cd 3.00
Ag4 0.1566 0.8434 0.3434  6 Cd 2.88, 3 Ag 3.04
Ag5 0.1680 0.1680 0.1680  1 Pt 2.84, 4 Ag 2.84-3.04, 6 Cd 3.00
Ag6 0.3320 0.8320 0.6680  1 Pt 2.84, 4 Ag 2.84-3.04, 6 Cd 3.00
Ag7 0.0314 0.4686 0.5314  1 Ag 2.84, 6 Cd 3.00-3.01
Ag8 0.3434 0.1566 0.8434  6 Cd 2.88, 3 Ag 3.04
Ag9 0.6680 0.3320 0.8320  1 Pt 2.84, 4 Ag 2.84-3.04, 6 Cd 3.00
Ag10 0.6566 0.6566 0.6566  6 Cd 2.88, 3 Ag 3.04
Ag11 0.5314 0.0314 0.4686  1 Ag 2.84, 6 Cd 3.00-3.01
Ag12 0.4686 0.5314 0.0314  1 Ag 2.84, 6 Cd 3.00-3.01
Pt1 0.1327 0.6327 0.8673  6 Cd 2.75-2.77, 1 Ag 2.84
Pt2 0.8673 0.1327 0.6327  6 Cd 2.75-2.77, 1 Ag 2.84
Pt3 0.3673 0.3673 0.3673  6 Cd 2.75-2.77, 1 Ag 2.84
Pt4 0.6327 0.8673 0.1327  6 Cd 2.75-2.77, 1 Ag 2.84

## Properties
SG: P2_13
Energy of formation from the pure elements, eV per atom: -0.054
Total moment, μB/atom: 0.000
Energy above the most stable polymorph in this dataset, meV/atom: 0



Record 3
First-principles (GGA-PBE) data for an optimized crystal structure of CdAg6Pt2, as listed in Alexandria.

a b c (Å): 8.8068 6.2015 6.2015
angles (deg): 105.12 82.79 82.79
Closest atoms and distances in Å follow each position.
Sites, in units of the cell vectors:
Cd1 0.2500 0.1356 0.8644  2 Pt 2.80, 8 Ag 2.88-2.99
Cd2 0.7500 0.8644 0.1356  2 Pt 2.80, 8 Ag 2.88-2.99
Ag1 0.4763 0.7875 0.5420  3 Pt 2.81-2.88, 6 Ag 2.86-2.99, 1 Cd 2.88
Ag2 0.0237 0.4580 0.2125  3 Pt 2.81-2.88, 6 Ag 2.86-2.99, 1 Cd 2.88
Ag3 0.5237 0.2125 0.4580  3 Pt 2.81-2.88, 6 Ag 2.86-2.99, 1 Cd 2.88
Ag4 0.9763 0.5420 0.7875  3 Pt 2.81-2.88, 6 Ag 2.86-2.99, 1 Cd 2.88
Ag5 0.8635 0.2024 0.4606  6 Ag 2.83-2.99, 3 Pt 2.85-2.94, 1 Cd 2.88
Ag6 0.6365 0.5394 0.7976  6 Ag 2.83-2.99, 3 Pt 2.85-2.94, 1 Cd 2.88
Ag7 0.1365 0.7976 0.5394  6 Ag 2.83-2.99, 3 Pt 2.85-2.94, 1 Cd 2.88
Ag8 0.3635 0.4606 0.2024  6 Ag 2.83-2.99, 3 Pt 2.85-2.94, 1 Cd 2.88
Ag9 0.0891 0.8774 0.1214  2 Pt 2.83-2.88, 6 Ag 2.83-2.91, 2 Cd 2.91-2.99
Ag10 0.4109 0.8786 0.1226  2 Pt 2.83-2.88, 6 Ag 2.83-2.91, 2 Cd 2.91-2.99
Ag11 0.9109 0.1226 0.8786  2 Pt 2.83-2.88, 6 Ag 2.83-2.91, 2 Cd 2.91-2.99
Ag12 0.5891 0.1214 0.8774  2 Pt 2.83-2.88, 6 Ag 2.83-2.91, 2 Cd 2.91-2.99
Pt1 0.3037 0.5450 0.7831  1 Cd 2.80, 8 Ag 2.81-2.94, 1 Pt 2.83
Pt2 0.1963 0.2169 0.4550  1 Cd 2.80, 8 Ag 2.81-2.94, 1 Pt 2.83
Pt3 0.6963 0.4550 0.2169  1 Cd 2.80, 8 Ag 2.81-2.94, 1 Pt 2.83
Pt4 0.8037 0.7831 0.5450  1 Cd 2.80, 8 Ag 2.81-2.94, 1 Pt 2.83

## Properties
SG: C2/c
Energy of formation from the pure elements, eV per atom: 0.016
Total moment, μB/atom: 0.000



Record 4
First-principles (GGA-PBE) data for an optimized crystal structure of Cd4Ag4Pt, as listed in Alexandria.

a b c (Å): 3.9499 6.8424 6.8424
angles (deg): 85.22 73.22 73.22
Closest atoms and distances in Å follow each position.
Sites, in units of the cell vectors:
Cd1 0.6624 0.6752 0.0000  2 Pt 2.90, 6 Ag 2.95-3.13, 4 Cd 3.01-3.03
Cd2 0.3376 0.3248 0.0000  2 Pt 2.90, 6 Ag 2.95-3.13, 4 Cd 3.01-3.03
Cd3 0.6624 0.0000 0.6752  2 Pt 2.90, 6 Ag 2.95-3.13, 4 Cd 3.01-3.03
Cd4 0.3376 0.0000 0.3248  2 Pt 2.90, 6 Ag 2.95-3.13, 4 Cd 3.01-3.03
Ag1 0.6648 0.3352 0.3353  5 Ag 2.93-3.05, 6 Cd 2.95-3.13, 1 Pt 3.11
Ag2 0.3352 0.6648 0.6647  5 Ag 2.93-3.05, 6 Cd 2.95-3.13, 1 Pt 3.11
Ag3 0.0000 0.6647 0.3352  5 Ag 2.93-3.05, 6 Cd 2.95-3.13, 1 Pt 3.11
Ag4 0.0000 0.3353 0.6648  5 Ag 2.93-3.05, 6 Cd 2.95-3.13, 1 Pt 3.11
Pt1 0.0000 0.0000 0.0000  8 Cd 2.90, 4 Ag 3.11

## Properties
SG: I4/mmm
Energy of formation from the pure elements, eV per atom: -0.096
Total moment, μB/atom: 0.000



Record 5
First-principles (GGA-PBE) data for an optimized crystal structure of Cd2AgPt2, as listed in Alexandria.

a b c (Å): 3.7929 3.7929 7.4917
angles (deg): 75.34 75.34 90.00
Closest atoms and distances in Å follow each position.
Sites, in units of the cell vectors:
Ag1 0.0000 0.0000 0.0000  8 Cd 3.03
Pt1 0.7500 0.2500 0.5000  4 Pt 2.68, 4 Cd 2.81
Pt2 0.2500 0.7500 0.5000  4 Pt 2.68, 4 Cd 2.81
Cd1 0.3985 0.3985 0.2030  4 Pt 2.81, 1 Cd 2.84, 4 Ag 3.03
Cd2 0.6015 0.6015 0.7970  4 Pt 2.81, 1 Cd 2.84, 4 Ag 3.03

## Properties
SG: I4/mmm
Energy of formation from the pure elements, eV per atom: 0.030
Total moment, μB/atom: 0.000
Energy above the most stable polymorph in this dataset, meV/atom: 193



Record 6
First-principles (GGA-PBE) data for an optimized crystal structure of Cd3Ag4Pt, as listed in Alexandria.

a b c (Å): 2.9690 5.1326 12.3746
angles (deg): 127.44 96.89 90.00
Closest atoms and distances in Å follow each position.
Sites, in units of the cell vectors:
Cd1 0.0000 0.5000 0.0000  6 Ag 2.91-2.96, 4 Pt 2.96, 2 Cd 2.97
Cd2 0.2488 0.2451 0.4976  6 Cd 2.95-2.98, 6 Ag 2.97-3.05
Cd3 0.7512 0.7549 0.5024  6 Cd 2.95-2.98, 6 Ag 2.97-3.05
Ag1 0.6232 0.0386 0.2465  1 Pt 2.91, 6 Ag 2.93-3.00, 5 Cd 2.96-3.04
Ag2 0.3768 0.9614 0.7535  1 Pt 2.91, 6 Ag 2.93-3.00, 5 Cd 2.96-3.04
Ag3 0.8785 0.4752 0.7569  4 Cd 2.91-3.05, 2 Pt 2.92, 6 Ag 2.93-3.00
Ag4 0.1215 0.5248 0.2431  4 Cd 2.91-3.05, 2 Pt 2.92, 6 Ag 2.93-3.00
Pt1 0.5000 0.0000 0.0000  6 Ag 2.91-2.92, 4 Cd 2.96, 2 Pt 2.97

## Properties
SG: C2/m
Energy of formation from the pure elements, eV per atom: -0.050
Total moment, μB/atom: 0.000



Record 7
First-principles (GGA-PBE) data for an optimized crystal structure of CdAgPt, as listed in Alexandria.

a b c (Å): 5.4230 5.4230 5.4766
angles (deg): 85.37 128.80 116.66
Closest atoms and distances in Å follow each position.
Sites, in units of the cell vectors:
Cd1 0.2483 0.5911 0.8394  3 Ag 2.67-2.85, 2 Cd 2.76-2.78
Cd2 0.7517 0.4089 0.1606  3 Ag 2.67-2.85, 2 Cd 2.76-2.78
Pt1 0.0000 0.0000 0.5000  2 Pt 2.85, 6 Ag 2.97-3.11, 6 Cd 3.01-3.08
Pt2 0.5000 0.5000 0.5000  2 Pt 2.85, 6 Ag 2.97-3.11, 6 Cd 3.01-3.08
Ag1 0.2517 0.9242 0.1759  2 Ag 2.65, 3 Cd 2.67-2.85
Ag2 0.7483 0.0758 0.8241  2 Ag 2.65, 3 Cd 2.67-2.85

## Properties
SG: C2/m
Energy of formation from the pure elements, eV per atom: -0.052
Total moment, μB/atom: 0.000
Energy above the most stable polymorph in this dataset, meV/atom: 108



Record 8
First-principles (GGA-PBE) data for an optimized crystal structure of CdAgPt2, as listed in Alexandria.

a b c (Å): 4.9880 4.9880 4.9880
angles (deg): 131.54 131.48 71.00
Closest atoms and distances in Å follow each position.
Sites, in units of the cell vectors:
Ag1 0.7500 0.2500 0.5000  8 Pt 2.88, 4 Cd 2.90
Pt1 0.0000 0.0000 0.0000  4 Cd 2.88, 4 Ag 2.88, 4 Pt 2.90
Pt2 0.5000 0.5000 0.0000  4 Ag 2.88, 4 Cd 2.88, 4 Pt 2.90
Cd1 0.2500 0.7500 0.5000  8 Pt 2.88, 4 Ag 2.90

## Properties
SG: I4/mmm
Energy of formation from the pure elements, eV per atom: -0.153
Total moment, μB/atom: 0.000



Record 9
First-principles (GGA-PBE) data for an optimized crystal structure of CdAg2Pt, as listed in Alexandria.

a b c (Å): 2.9263 2.9263 8.3072
angles (deg): 90.00 90.00 90.00
Closest atoms and distances in Å follow each position.
Sites, in units of the cell vectors:
Ag1 0.0000 0.0000 0.9892  4 Pt 2.87, 4 Ag 2.93, 4 Cd 3.00
Ag2 0.0000 0.0000 0.5108  4 Pt 2.87, 4 Ag 2.93, 4 Cd 3.00
Pt1 0.5000 0.5000 0.7500  8 Ag 2.87, 4 Pt 2.93
Cd1 0.5000 0.5000 0.2500  4 Cd 2.93, 8 Ag 3.00

## Properties
SG: P4/mmm
Energy of formation from the pure elements, eV per atom: -0.004
Total moment, μB/atom: 0.000



Record 10
First-principles (GGA-PBE) data for an optimized crystal structure of Cd8Ag2Pt, as listed in Alexandria.

a b c (Å): 4.5672 7.6609 7.8433
angles (deg): 119.23 106.93 90.00
Closest atoms and distances in Å follow each position.
Sites, in units of the cell vectors:
Cd1 0.3504 0.5715 0.7007  1 Pt 2.88, 3 Ag 2.90-2.94, 5 Cd 3.00-3.13
Cd2 0.6496 0.8708 0.2993  1 Pt 2.88, 3 Ag 2.90-2.94, 5 Cd 2.99-3.13
Cd3 0.8510 0.8509 0.7019  2 Pt 2.99, 8 Cd 3.00-3.13, 2 Ag 3.06
Cd4 0.0000 0.3003 0.0000  2 Ag 2.93, 7 Cd 2.99-3.06, 2 Pt 3.24
Cd5 0.1490 0.1491 0.2981  2 Pt 2.99, 8 Cd 3.00-3.13, 2 Ag 3.06
Cd6 0.3504 0.1292 0.7007  1 Pt 2.88, 3 Ag 2.90-2.94, 5 Cd 2.99-3.13
Cd7 0.6496 0.4285 0.2993  1 Pt 2.88, 3 Ag 2.90-2.94, 5 Cd 3.00-3.13
Cd8 0.0000 0.6997 0.0000  2 Ag 2.93, 7 Cd 2.99-3.06, 2 Pt 3.24
Ag1 0.8066 0.3066 0.6132  10 Cd 2.90-3.06
Ag2 0.1934 0.6934 0.3868  10 Cd 2.90-3.06
Pt1 0.5000 0.0000 0.0000  8 Cd 2.88-2.99

## Properties
SG: Immm
Energy of formation from the pure elements, eV per atom: -0.086
Total moment, μB/atom: 0.000



Record 11
First-principles (GGA-PBE) data for an optimized crystal structure of Cd2AgPt4, as listed in Alexandria.

a b c (Å): 3.7765 3.7765 9.7840
angles (deg): 101.13 101.13 90.00
Closest atoms and distances in Å follow each position.
Sites, in units of the cell vectors:
Pt1 0.1432 0.1432 0.2865  1 Ag 2.70, 4 Pt 2.76, 4 Cd 2.78
Pt2 0.8568 0.8568 0.7135  1 Ag 2.70, 4 Pt 2.76, 4 Cd 2.78
Pt3 0.7500 0.2500 0.5000  8 Pt 2.67-2.76
Pt4 0.2500 0.7500 0.5000  8 Pt 2.67-2.76
Ag1 0.0000 0.0000 0.0000  2 Pt 2.70
Cd1 0.6016 0.6016 0.2031  4 Pt 2.78
Cd2 0.3984 0.3984 0.7969  4 Pt 2.78

## Properties
SG: I4/mmm
Energy of formation from the pure elements, eV per atom: -0.017
Total moment, μB/atom: 0.000
Energy above the most stable polymorph in this dataset, meV/atom: 0



Record 12
First-principles (GGA-PBE) data for an optimized crystal structure of Cd2Ag8Pt, as listed in Alexandria.

a b c (Å): 4.9002 7.3151 7.3151
angles (deg): 61.82 79.66 79.66
Closest atoms and distances in Å follow each position.
Sites, in units of the cell vectors:
Cd1 0.5302 0.8777 0.8777  2 Pt 2.73-3.02, 5 Ag 2.78-2.90, 1 Cd 3.02
Cd2 0.4698 0.1223 0.1223  2 Pt 2.73-3.02, 5 Ag 2.78-2.90, 1 Cd 3.02
Ag1 0.2005 0.3829 0.7551  1 Pt 2.76, 7 Ag 2.80-3.08, 1 Cd 2.85
Ag2 0.7995 0.2449 0.6171  1 Pt 2.76, 7 Ag 2.80-3.08, 1 Cd 2.85
Ag3 0.0871 0.7700 0.7700  2 Cd 2.78-2.79, 1 Pt 2.83, 4 Ag 2.84-2.92
Ag4 0.9129 0.2300 0.2300  2 Cd 2.78-2.79, 1 Pt 2.83, 4 Ag 2.84-2.92
Ag5 0.2005 0.7551 0.3829  1 Pt 2.76, 7 Ag 2.80-3.08, 1 Cd 2.85
Ag6 0.7995 0.6171 0.2449  1 Pt 2.76, 7 Ag 2.80-3.08, 1 Cd 2.85
Ag7 0.6545 0.6413 0.6413  1 Cd 2.90, 8 Ag 2.91-2.99
Ag8 0.3455 0.3587 0.3587  1 Cd 2.90, 8 Ag 2.91-2.99
Pt1 0.0000 0.0000 0.0000  4 Cd 2.73-3.02, 6 Ag 2.76-2.83

## Properties
SG: C2/m
Energy of formation from the pure elements, eV per atom: 0.079
Total moment, μB/atom: 0.000
Energy above the most stable polymorph in this dataset, meV/atom: 125